# SrTl4

A geometry-optimized SrTl4 structure (GGA-PBE, the Alexandria database). Values from VASP.

Results
- formation energy from the elements (kJ/mol of atoms) = 43
- electronic total energy (eV/atom) = -1.780

```
&SYSTEM
  ibrav = 0, nat = 5, ntyp = 2
/
ATOMIC_SPECIES
Sr 87.62 Sr.upf
Tl 204.38 Tl.upf
CELL_PARAMETERS angstrom
-1.724 -2.703 -5.346
-2.886 -4.501 3.206
-5.250 3.362 -0.006
ATOMIC_POSITIONS angstrom
Sr -4.930 -1.921 -1.073
Tl -4.068 -0.570 1.600
Tl 0.000 0.000 0.000
Tl -3.487 0.329 -2.676
Tl -2.305 -3.602 -1.070
```